Entry 1:
NiSn2C4: optimized geometry, PBE-GGA.

The value obtained for the formation energy is 1286 kJ/mol of formula units. Its volume is 216 Å³/cell.

It has space group I4/mmm (No. 139), with a = 3.4525 Å, b = 3.4525 Å, c = 18.1233 Å, α = 90.00°, β = 90.00° and γ = 90.00°. The distinct sites, in fractional coordinates, are Ni at (0.0000, 0.0000, 0.0000), Sn at (0.0000, 0.0000, 0.3171), C at (0.0000, 0.0000, 0.1892) and C at (0.0000, 0.5000, 0.0000).



Entry 2:
Na2CuRhCl6: optimized geometry, PBE-GGA.

Its volume is 214 Å³/cell. As for the raw formation energy: -10.09 eV/f.u.

It has space group P1 (No. 1), with a = 6.6380 Å, b = 6.6495 Å, c = 6.7747 Å, α = 60.67°, β = 89.95° and γ = 60.08°. The distinct sites, in fractional coordinates, are Na at (0.0000, 0.0000, 0.0000), Na at (0.4918, 0.0158, 0.4764), Cu at (0.2775, 0.4440, 0.8360), Rh at (0.7858, 0.4282, 0.3583), Cl at (0.0327, 0.3312, 0.1160), Cl at (0.1298, 0.3197, 0.6112), Cl at (0.4469, 0.5202, 0.1166), Cl at (0.5507, 0.5186, 0.6120), Cl at (0.6367, 0.9154, 0.1169) and Cl at (0.9298, 0.9409, 0.6107).



Entry 3:
Dy4TlNi: optimized geometry, PBE-GGA.

The value obtained for the formation energy is -181 kJ/mol of formula units. Its volume is 2514 Å³/cell. The excess energy over the best structure of this formula in the dataset comes out at 0.000 eV/atom.

It has space group F-43m (No. 216), with a = 13.5982 Å, b = 13.5982 Å, c = 13.5982 Å, α = 90.00°, β = 90.00° and γ = 90.00°. The distinct sites, in fractional coordinates, are Dy at (0.0000, 0.0000, 0.1869), Dy at (0.0616, 0.2500, 0.2500), Dy at (0.1518, 0.1518, 0.6518), Tl at (0.0853, 0.0853, 0.4147) and Ni at (0.1428, 0.1428, 0.8572).